This record from Alexandria via LeMat-Bulk describes an optimized crystal structure of CaAc12Sm6. The functional is PBE.

Values from the calculation:
Space group: No. 166

Lattice parameters (Å, degrees): 10.115 10.115 10.115 107.19 107.19 107.19
Element x y z (fractional)
Ca  0.000  0.000  0.000
Ac  0.117  0.500  0.883
Ac  0.117  0.883  0.500
Ac  0.145  0.377  0.377
Ac  0.377  0.145  0.377
Ac  0.377  0.377  0.145
Ac  0.500  0.117  0.883
Ac  0.500  0.883  0.117
Ac  0.623  0.623  0.855
Ac  0.623  0.855  0.623
Ac  0.855  0.623  0.623
Ac  0.883  0.117  0.500
Ac  0.883  0.500  0.117
Sm  0.288  0.698  0.698
Sm  0.302  0.302  0.712
Sm  0.302  0.712  0.302
Sm  0.698  0.288  0.698
Sm  0.698  0.698  0.288
Sm  0.712  0.302  0.302

---

This record from Alexandria via LeMat-Bulk describes an optimized crystal structure of Ca2Ac4Sm5. The functional is PBE.

Values from the calculation:
Space group: No. 10

Lattice parameters (Å, degrees): 9.516 3.729 12.143 90.00 90.97 90.00
Element x y z (fractional)
Ca  0.044  0.000  0.136
Ca  0.956  0.000  0.864
Ac  0.214  0.500  0.671
Ac  0.390  0.500  0.224
Ac  0.610  0.500  0.776
Ac  0.786  0.500  0.329
Sm  0.139  0.000  0.414
Sm  0.339  0.000  0.938
Sm  0.500  0.000  0.500
Sm  0.661  0.000  0.062
Sm  0.861  0.000  0.586

---

This record from Alexandria via LeMat-Bulk describes an optimized crystal structure of CaAcSm2. The functional is PBE.

Values from the calculation:
Space group: No. 11

Lattice parameters (Å, degrees): 3.772 5.953 13.929 90.00 96.91 90.00
Element x y z (fractional)
Ca  0.189  0.250  0.419
Ca  0.811  0.750  0.581
Ac  0.369  0.250  0.697
Ac  0.631  0.750  0.303
Sm  0.031  0.750  0.074
Sm  0.432  0.750  0.847
Sm  0.568  0.250  0.153
Sm  0.969  0.250  0.926

---

This record from Alexandria via LeMat-Bulk describes an optimized crystal structure of CaAcSm2. The functional is PBE.

Values from the calculation:
Space group: No. 123

Lattice parameters (Å, degrees): 5.258 5.258 5.459 90.00 90.00 90.00
Element x y z (fractional)
Ca  0.000  0.000  0.000
Ac  0.500  0.500  0.000
Sm  0.000  0.500  0.500
Sm  0.500  0.000  0.500

---

This record from Alexandria via LeMat-Bulk describes an optimized crystal structure of CaAcSm4. The functional is PBE.

Values from the calculation:
Space group: No. 216

Lattice parameters (Å, degrees): 6.874 6.874 6.874 60.00 60.00 60.00
Element x y z (fractional)
Ca  0.000  0.000  0.000
Ac  0.750  0.750  0.750
Sm  0.375  0.375  0.375
Sm  0.375  0.375  0.874
Sm  0.375  0.874  0.375
Sm  0.874  0.375  0.375

---

This record from Alexandria via LeMat-Bulk describes an optimized crystal structure of Ca2Ac5Sm. The functional is PBE.

Values from the calculation:
Space group: No. 139

Lattice parameters (Å, degrees): 11.770 11.770 11.770 152.67 152.67 39.03
Element x y z (fractional)
Ca  0.249  0.249  0.000
Ca  0.751  0.751  0.000
Ac  0.000  0.000  0.000
Ac  0.121  0.621  0.500
Ac  0.379  0.879  0.500
Ac  0.621  0.121  0.500
Ac  0.879  0.379  0.500
Sm  0.500  0.500  0.000

---

This record from Alexandria via LeMat-Bulk describes an optimized crystal structure of CaAc3Sm3Te8. The functional is PBE.

Values from the calculation:
Raw formation energy in meV per atom: -1500
Space group: No. 166

Lattice parameters (Å, degrees): 9.219 9.219 9.219 59.02 59.02 59.02
Element x y z (fractional)
Ca  0.000  0.000  0.000
Ac  0.000  0.000  0.500
Ac  0.000  0.500  0.000
Ac  0.500  0.000  0.000
Sm  0.000  0.500  0.500
Sm  0.500  0.000  0.500
Sm  0.500  0.500  0.000
Te  0.249  0.249  0.739
Te  0.249  0.739  0.249
Te  0.256  0.256  0.256
Te  0.261  0.751  0.751
Te  0.739  0.249  0.249
Te  0.744  0.744  0.744
Te  0.751  0.261  0.751
Te  0.751  0.751  0.261

---

This record from Alexandria via LeMat-Bulk describes an optimized crystal structure of CaAcSm2Te4. The functional is PBE.

Values from the calculation:
Raw formation energy in meV per atom: -1455
Space group: No. 10

Lattice parameters (Å, degrees): 7.870 4.501 7.888 90.00 108.98 90.00
Element x y z (fractional)
Ca  0.000  0.000  0.000
Ac  0.500  0.500  0.000
Sm  0.000  0.500  0.500
Sm  0.500  0.000  0.500
Te  0.237  0.000  0.739
Te  0.243  0.500  0.255
Te  0.757  0.500  0.745
Te  0.763  0.000  0.261

---

This record from Alexandria via LeMat-Bulk describes an optimized crystal structure of CaAc3Sm2Te6. The functional is PBE.

Values from the calculation:
Raw formation energy in meV per atom: -1473
Space group: No. 12

Lattice parameters (Å, degrees): 10.301 10.301 9.264 103.48 103.48 25.61
Element x y z (fractional)
Ca  0.000  0.000  0.000
Ac  0.000  0.000  0.500
Ac  0.332  0.332  0.168
Ac  0.668  0.668  0.832
Sm  0.329  0.329  0.659
Sm  0.671  0.671  0.341
Te  0.161  0.161  0.094
Te  0.169  0.169  0.573
Te  0.495  0.495  0.761
Te  0.505  0.505  0.239
Te  0.831  0.831  0.427
Te  0.839  0.839  0.906

---

This record from Alexandria via LeMat-Bulk describes an optimized crystal structure of Ca2AcSmTe4. The functional is PBE.

Values from the calculation:
Raw formation energy in meV per atom: -1510
Space group: No. 10

Lattice parameters (Å, degrees): 7.832 4.518 7.981 90.00 109.06 90.00
Element x y z (fractional)
Ca  0.000  0.000  0.000
Ca  0.500  0.500  0.000
Ac  0.000  0.500  0.500
Sm  0.500  0.000  0.500
Te  0.257  0.500  0.244
Te  0.264  0.000  0.763
Te  0.736  0.000  0.237
Te  0.743  0.500  0.756

---

This record from Alexandria via LeMat-Bulk describes an optimized crystal structure of CaAcSmTh. The functional is PBE.

Values from the calculation:
Space group: No. 216

Lattice parameters (Å, degrees): 5.965 5.965 5.965 60.00 60.00 60.00
Element x y z (fractional)
Ca  0.000  0.000  0.000
Ac  0.750  0.750  0.750
Sm  0.250  0.250  0.250
Th  0.500  0.500  0.500

---

This record from Alexandria via LeMat-Bulk describes an optimized crystal structure of Ca2AcSmTl4. The functional is PBE.

Values from the calculation:
Space group: No. 166

Lattice parameters (Å, degrees): 9.739 9.739 9.739 33.28 33.28 33.28
Element x y z (fractional)
Ca  0.248  0.248  0.248
Ca  0.752  0.752  0.752
Ac  0.000  0.000  0.000
Sm  0.500  0.500  0.500
Tl  0.127  0.127  0.127
Tl  0.380  0.380  0.380
Tl  0.620  0.620  0.620
Tl  0.873  0.873  0.873

---

For each record above, in turn, the calculated density of states at the Fermi level values are 28.08; 16.06; 5.53; 6.22; 7.27; 13.87; 3.74; 3.71; 5.90; 3.84; 7.72; 7.04 states/eV/f.u..
For each record above, in turn, the calculated magnetization values are 0.000; 0.000; 0.000; 0.000; 0.000; 0.000; 0.000; 0.000; 0.000; 0.000; 0.293; 0.000 μB per atom.
For each record above, in turn, the calculated E values are -3.80; -3.91; -3.83; -3.80; -3.99; -3.63; -5.07; -4.97; -5.02; -4.69; -4.32; -3.18 eV/atom.